1.
Computed, not measured: an optimized crystal structure of Tb2Y at the PBE level of DFT.

abc: 6.5770 6.5770 6.5770
angles: 60.00 60.00 60.00
Last column: nearest neighbours and their distance in Å.
Sites, in units of the cell vectors:
Tb  0.6250  0.1250  0.6250  6 Tb 3.29
Tb  0.6250  0.6250  0.1250  6 Tb 3.29
Tb  0.6250  0.6250  0.6250  6 Tb 3.29
Tb  0.1250  0.6250  0.6250  6 Tb 3.29
Y  0.2500  0.2500  0.2500  12 Tb 3.86, 4 Y 4.03
Y  0.0000  0.0000  0.0000  12 Tb 3.86, 4 Y 4.03

Calculated values
Energy above the lowest structure with this stoichiometry   221.2 meV/atom
Calculated formation energy   231 meV per atom

2.
Computed, not measured: an optimized crystal structure of InSb2Te at the PBE level of DFT.

abc: 3.1449 3.1449 11.6537
angles: 90.00 90.00 90.00
Last column: nearest neighbours and their distance in Å.
Sites, in units of the cell vectors:
Te  0.5000  0.5000  0.2500  4 Te 3.14
In  0.5000  0.5000  0.7500  4 In 3.14, 8 Sb 3.52
Sb  0.0000  0.0000  0.9840  4 Sb 3.14, 4 In 3.52
Sb  0.0000  0.0000  0.5160  4 Sb 3.14, 4 In 3.52

Calculated values
Energy above the lowest structure with this stoichiometry   293.3 meV/atom
Raw formation energy   0.21 eV per atom

3.
Computed, not measured: an optimized crystal structure of BePbBr2 at the PBE level of DFT.

abc: 7.1260 7.1260 5.7779
angles: 74.97 74.97 27.15
Last column: nearest neighbours and their distance in Å.
Sites, in units of the cell vectors:
Pb  0.6244  0.6244  0.4218  2 Be 2.95, 2 Br 3.02-3.11
Be  0.2821  0.2821  0.1099  2 Br 2.26
Br  0.7005  0.7005  0.8653  2 Be 2.63
Br  0.8930  0.8930  0.1030  2 Be 2.26

Calculated values
Energy above the lowest structure with this stoichiometry   150.5 meV/atom
Raw formation energy   -0.28 eV per atom

4.
Computed, not measured: an optimized crystal structure of Mg2AlAs at the PBE level of DFT.

abc: 8.9986 8.9986 8.9986
angles: 20.66 20.66 20.66
Last column: nearest neighbours and their distance in Å.
Sites, in units of the cell vectors:
Mg  0.0014  0.0014  0.0014  3 As 2.86, 3 Al 2.91
Mg  0.4986  0.4986  0.4986  3 As 2.86, 3 Al 2.91
Al  0.2500  0.2500  0.2500  6 Mg 2.91, 6 Al 3.23
As  0.7500  0.7500  0.7500  6 Mg 2.86

Calculated values
Energy above the lowest structure with this stoichiometry   50.5 meV/atom
Calculated formation energy   -70 meV per atom

5.
Computed, not measured: an optimized crystal structure of Mg8AlZn2 at the PBE level of DFT.

abc: 4.5279 7.3493 8.0960
angles: 116.99 106.24 90.00
Last column: nearest neighbours and their distance in Å.
Sites, in units of the cell vectors:
Zn  0.1868  0.6868  0.3735  10 Mg 2.81-3.14
Zn  0.8132  0.3132  0.6265  10 Mg 2.81-3.14
Mg  0.6588  0.4383  0.3176  3 Zn 2.81-2.95, 1 Al 2.99, 5 Mg 3.03-3.14
Mg  0.0000  0.7039  0.0000  2 Zn 2.97, 7 Mg 3.00-3.14, 2 Al 3.14
Mg  0.8453  0.8453  0.6905  8 Mg 3.03-3.06, 2 Al 3.10, 2 Zn 3.14
Mg  0.3412  0.5617  0.6824  3 Zn 2.81-2.95, 1 Al 2.99, 5 Mg 3.03-3.14
Mg  0.1547  0.1547  0.3095  8 Mg 3.03-3.06, 2 Al 3.10, 2 Zn 3.14
Mg  0.0000  0.2961  0.0000  2 Zn 2.97, 7 Mg 3.00-3.14, 2 Al 3.14
Mg  0.6588  0.8793  0.3176  3 Zn 2.81-2.95, 1 Al 2.99, 5 Mg 3.03-3.14
Mg  0.3412  0.1207  0.6824  3 Zn 2.81-2.95, 1 Al 2.99, 5 Mg 3.03-3.14
Al  0.5000  0.0000  0.0000  12 Mg 2.99-3.14

Calculated values
Calculated formation energy   -17 meV per atom

6.
Computed, not measured: an optimized crystal structure of Pr6NdHo2Th at the PBE level of DFT.

abc: 9.9477 8.9175 8.9175
angles: 116.23 94.75 94.75
Last column: nearest neighbours and their distance in Å.
Sites, in units of the cell vectors:
Pr  0.3151  0.9859  0.4231  2 Pr 3.38-3.77, 1 Th 3.46, 1 Nd 3.49, 1 Ho 3.51
Pr  0.4428  0.2431  0.8949  6 Pr 3.48-3.85, 2 Ho 3.52-3.76, 2 Th 3.63-3.90
Pr  0.1203  0.6995  0.4913  3 Ho 3.34-3.52, 3 Pr 3.37-3.48, 2 Nd 3.47-3.65
Pr  0.1849  0.5769  0.0141  2 Pr 3.38-3.77, 1 Th 3.46, 1 Nd 3.49, 1 Ho 3.51
Pr  0.8151  0.4231  0.9859  2 Pr 3.38-3.77, 1 Th 3.46, 1 Nd 3.49, 1 Ho 3.51
Pr  0.8797  0.3005  0.5087  3 Ho 3.34-3.52, 3 Pr 3.37-3.48, 2 Nd 3.47-3.65
Pr  0.5572  0.7569  0.1051  6 Pr 3.48-3.85, 2 Ho 3.52-3.76, 2 Th 3.63-3.90
Pr  0.9428  0.8949  0.2431  6 Pr 3.48-3.85, 2 Ho 3.52-3.76, 2 Th 3.63-3.90
Pr  0.6203  0.4913  0.6995  3 Ho 3.34-3.52, 3 Pr 3.37-3.48, 2 Nd 3.47-3.65
Pr  0.6849  0.0141  0.5769  2 Pr 3.38-3.77, 1 Th 3.46, 1 Nd 3.49, 1 Ho 3.51
Pr  0.3797  0.5087  0.3005  3 Ho 3.34-3.52, 3 Pr 3.37-3.48, 2 Nd 3.47-3.65
Pr  0.0572  0.1051  0.7569  6 Pr 3.48-3.85, 2 Ho 3.52-3.76, 2 Th 3.63-3.90
Ho  0.0504  0.2833  0.1949  5 Pr 3.34-3.52, 2 Th 3.41-3.46, 1 Nd 3.60
Ho  0.4496  0.8051  0.7167  5 Pr 3.34-3.52, 2 Th 3.41-3.46, 1 Nd 3.60
Ho  0.9496  0.7167  0.8051  5 Pr 3.34-3.52, 2 Th 3.41-3.46, 1 Nd 3.60
Ho  0.5504  0.1949  0.2833  5 Pr 3.34-3.52, 2 Th 3.41-3.46, 1 Nd 3.60
Th  0.2500  0.9712  0.0288  4 Ho 3.41-3.46, 4 Pr 3.46-3.63
Th  0.7500  0.0288  0.9712  4 Ho 3.41-3.46, 4 Pr 3.46-3.63
Nd  0.2500  0.4041  0.5959  6 Pr 3.47-3.65, 2 Ho 3.60
Nd  0.7500  0.5959  0.4041  6 Pr 3.47-3.65, 2 Ho 3.60

Calculated values
Calculated formation energy   138 meV per atom

7.
Computed, not measured: an optimized crystal structure of NdAl2SiRh2 at the PBE level of DFT.

abc: 4.4981 4.4981 5.6781
angles: 90.00 90.00 90.00
Last column: nearest neighbours and their distance in Å.
Sites, in units of the cell vectors:
Al  0.5000  0.5000  0.2548  4 Rh 2.67, 2 Al 2.78-2.89
Al  0.5000  0.5000  0.7452  4 Rh 2.67, 2 Al 2.78-2.89
Rh  0.5000  0.0000  0.0000  2 Si 2.25
Rh  0.0000  0.5000  0.0000  2 Si 2.25
Si  0.0000  0.0000  0.0000  4 Rh 2.25
Nd  0.0000  0.0000  0.5000  2 Si 2.84

Calculated values
Raw formation energy   -0.62 eV per atom

8.
Computed, not measured: an optimized crystal structure of TlCoSn3 at the PBE level of DFT.

abc: 5.0228 5.0228 5.0228
angles: 90.00 90.00 90.00
Last column: nearest neighbours and their distance in Å.
Sites, in units of the cell vectors:
Sn  0.0000  0.5000  0.0000  2 Co 2.51
Sn  0.5000  0.0000  0.0000  2 Co 2.51
Sn  0.0000  0.0000  0.5000  2 Co 2.51
Tl  0.5000  0.5000  0.5000  12 Sn 3.55
Co  0.0000  0.0000  0.0000  6 Sn 2.51

Calculated values
Calculated formation energy   83 meV per atom

9.
Computed, not measured: an optimized crystal structure of K2NpTaN4 at the PBE level of DFT.

abc: 3.3432 6.6757 5.7448
angles: 73.67 90.00 90.00
Last column: nearest neighbours and their distance in Å.
Sites, in units of the cell vectors:
Np  0.0000  0.5000  0.5000  6 N 2.22-2.24
N  0.0000  0.6654  0.7849  2 Ta 2.18, 1 Np 2.22
N  0.0000  0.3346  0.2151  2 Ta 2.18, 1 Np 2.22
N  0.5000  0.6668  0.2635  1 Ta 2.12, 2 Np 2.24
N  0.5000  0.3332  0.7365  1 Ta 2.12, 2 Np 2.24
K  0.0000  0.0000  0.0000  6 N 2.84-2.85
K  0.5000  0.0000  0.5000  6 N 2.90-2.91
Ta  0.5000  0.5000  0.0000  6 N 2.12-2.18

Calculated values
Raw formation energy   -0.79 eV per atom

10.
Computed, not measured: an optimized crystal structure of HoScZnGe at the PBE level of DFT.

abc: 4.8601 4.8601 4.8601
angles: 60.00 60.00 60.00
Last column: nearest neighbours and their distance in Å.
Sites, in units of the cell vectors:
Sc  0.5000  0.5000  0.5000  4 Zn 2.98, 4 Ge 2.98
Zn  0.7500  0.7500  0.7500  4 Ho 2.98, 4 Sc 2.98
Ho  0.0000  0.0000  0.0000  4 Ge 2.98, 4 Zn 2.98
Ge  0.2500  0.2500  0.2500  4 Ho 2.98, 4 Sc 2.98

Calculated values
Calculated formation energy   -518 meV per atom

11.
Computed, not measured: an optimized crystal structure of Os2PtSe at the PBE level of DFT.

abc: 4.7460 4.7460 4.9666
angles: 75.50 75.50 35.09
Last column: nearest neighbours and their distance in Å.
Sites, in units of the cell vectors:
Pt  0.7500  0.7500  0.7500  6 Os 2.69-2.77, 2 Pt 2.86, 4 Se 2.87
Os  0.9861  0.9861  0.9843  2 Se 2.62, 4 Os 2.69-2.86, 3 Pt 2.69-2.77
Os  0.5139  0.5139  0.5157  2 Se 2.62, 4 Os 2.69-2.86, 3 Pt 2.69-2.77
Se  0.2500  0.2500  0.2500  4 Os 2.62, 2 Se 2.86, 4 Pt 2.87

Calculated values
Raw formation energy   0.61 eV per atom

12.
Computed, not measured: an optimized crystal structure of NbSiB at the PBE level of DFT.

abc: 3.1809 4.4445 6.2756
angles: 110.66 104.68 90.00
Last column: nearest neighbours and their distance in Å.
Sites, in units of the cell vectors:
Nb  0.6431  0.1427  0.2861  4 B 2.41, 1 Si 2.58
Nb  0.3569  0.8573  0.7139  4 B 2.41, 1 Si 2.58
B  0.0000  0.8177  0.0000  1 B 1.62
B  0.0000  0.1823  0.0000  1 B 1.62
Si  0.8717  0.3719  0.7434  2 B 2.02
Si  0.1283  0.6281  0.2566  2 B 2.02

Calculated values
Energy above the lowest structure with this stoichiometry   0.0 meV/atom
Raw formation energy   -0.23 eV per atom

Number 1: magnetization 0.044 Bohr magnetons per cell, density of states at the Fermi level 1.661 states/eV/atom. Number 2: magnetization 0.000 Bohr magnetons per cell, density of states at the Fermi level 0.831 states/eV/atom. Number 3: magnetization 0.000 Bohr magnetons per cell, density of states at the Fermi level 0.039 states/eV/atom. Number 4: magnetization 0.000 Bohr magnetons per cell, density of states at the Fermi level 0.688 states/eV/atom. Number 5: magnetization 0.000 Bohr magnetons per cell, density of states at the Fermi level 0.322 states/eV/atom. Number 6: magnetization 0.000 Bohr magnetons per cell, density of states at the Fermi level 1.451 states/eV/atom. Number 7: magnetization 0.000 Bohr magnetons per cell, density of states at the Fermi level 0.758 states/eV/atom. Number 8: magnetization 0.000 Bohr magnetons per cell, density of states at the Fermi level 0.698 states/eV/atom. Number 9: magnetization 2.002 Bohr magnetons per cell, density of states at the Fermi level 0.594 states/eV/atom. Number 10: magnetization 0.000 Bohr magnetons per cell, density of states at the Fermi level 0.423 states/eV/atom. Number 11: magnetization 0.000 Bohr magnetons per cell, density of states at the Fermi level 0.801 states/eV/atom. Number 12: magnetization 0.000 Bohr magnetons per cell, density of states at the Fermi level 0.594 states/eV/atom.